This record from Alexandria via LeMat-Bulk describes Y2ScNbSn after structural relaxation. The functional is PBE. Values from VASP.

Calculated values
- magnetization (μB/cell) = 0.03
- formation energy (meV/atom) = 696.9
- density of states at the Fermi level (states/eV/f.u.) = 10.87
- calculated total energy (Ha/atom) = -0.21938
- energy relative to the lowest polymorph listed for this composition (meV/atom) = 0.0

```
&SYSTEM
  ibrav = 0, nat = 5, ntyp = 4
/
ATOMIC_SPECIES
Y 88.91 Y.upf
Sc 44.96 Sc.upf
Nb 92.91 Nb.upf
Sn 118.71 Sn.upf
ATOMIC_POSITIONS crystal
Y 0.0000 0.0000 0.5000
Y 0.5000 0.0000 0.0000
Sc 0.5000 0.5000 0.5000
Nb 0.0000 0.5000 0.0000
Sn 0.0000 0.0000 0.0000
CELL_PARAMETERS angstrom
-1.1941 -2.4644 -4.8998
1.0292 -4.6577 2.0918
-5.3714 -0.4887 1.5548
```